First-principles (GGA-PBE) data for a relaxed structure of Be2NbReSb, as listed in the Alexandria database.

Results
- calculated total energy (eV/atom) = -5.22
- volume (Å³ per cell) = 99

Unit cell a=4.510 b=4.510 c=4.875 alpha=90.00 beta=90.00 gamma=90.00
Space group P4/mmm (No. 123)
Symmetry-distinct sites (fractional):
Be 0.000 0.500 0.000
Nb 0.000 0.000 0.000
Re 0.000 0.000 0.500
Sb 0.500 0.500 0.500


First-principles (GGA-PBE) data for a relaxed structure of Nb7Ga2C2, as listed in the Alexandria database.

Results
- calculated total energy (eV/atom) = -8.48
- energy of formation from the pure elements (eV/atom) = 0.153
- volume (Å³ per cell) = 416

Unit cell a=6.523 b=9.722 c=6.687 alpha=90.00 beta=100.95 gamma=90.00
Space group C2/m (No. 12)
Symmetry-distinct sites (fractional):
Nb 0.000 0.000 0.000
Nb 0.093 0.500 0.802
Nb 0.203 0.286 0.178
Ga 0.000 0.301 0.500
C 0.224 0.500 0.139


First-principles (GGA-PBE) data for a relaxed structure of Pm2H7Ru2, as listed in the Alexandria database.

Results
- calculated total energy (eV/atom) = -4.95
- volume (Å³ per cell) = 215

Unit cell a=7.141 b=6.395 c=4.702 alpha=90.00 beta=90.11 gamma=90.00
Space group C2/m (No. 12)
Symmetry-distinct sites (fractional):
Pm 0.000 0.237 0.000
H 0.000 0.000 0.500
H 0.000 0.500 0.319
H 0.250 0.250 0.304
Ru 0.237 0.500 0.501


First-principles (GGA-PBE) data for a relaxed structure of CaAs2Ir, as listed in the Alexandria database.

Results
- calculated total energy (eV/atom) = -5.69
- energy of formation from the pure elements (eV/atom) = -0.649
- volume (Å³ per cell) = 160

Unit cell a=7.080 b=4.106 c=6.008 alpha=90.00 beta=113.48 gamma=90.00
Space group C2/m (No. 12)
Symmetry-distinct sites (fractional):
Ca 0.000 0.000 0.000
As 0.225 0.000 0.676
Ir 0.000 0.500 0.500


First-principles (GGA-PBE) data for a relaxed structure of Ti2PCl, as listed in the Alexandria database.

Results
- calculated total energy (eV/atom) = -6.46
- volume (Å³ per cell) = 238

Unit cell a=6.199 b=6.199 c=6.199 alpha=90.00 beta=90.00 gamma=90.00
Space group Fm-3m (No. 225)
Symmetry-distinct sites (fractional):
Ti 0.250 0.250 0.250
P 0.000 0.000 0.000
Cl 0.000 0.000 0.500


First-principles (GGA-PBE) data for a relaxed structure of TcBOs, as listed in the Alexandria database.

Results
- calculated total energy (eV/atom) = -9.44
- energy of formation from the pure elements (eV/atom) = -0.016
- volume (Å³ per cell) = 142

Unit cell a=9.340 b=3.725 c=4.138 alpha=90.00 beta=99.36 gamma=90.00
Space group C2/m (No. 12)
Symmetry-distinct sites (fractional):
Tc 0.131 0.000 0.311
B 0.225 0.000 0.825
Os 0.086 0.500 0.791


First-principles (GGA-PBE) data for a relaxed structure of Cu2SbOs, as listed in the Alexandria database.

Results
- calculated total energy (eV/atom) = -5.60
- volume (Å³ per cell) = 118

Unit cell a=3.860 b=3.860 c=7.942 alpha=90.00 beta=90.00 gamma=90.00
Space group I-4m2 (No. 119)
Symmetry-distinct sites (fractional):
Cu 0.000 0.000 0.000
Cu 0.000 0.500 0.250
Sb 0.000 0.500 0.750
Os 0.000 0.000 0.500


First-principles (GGA-PBE) data for a relaxed structure of Cr2InCu, as listed in the Alexandria database.

Results
- calculated total energy (eV/atom) = -6.08
- energy of formation from the pure elements (eV/atom) = 0.440
- volume (Å³ per cell) = 59

Unit cell a=2.793 b=3.997 c=5.264 alpha=90.00 beta=90.17 gamma=90.00
Space group P2/m (No. 10)
Symmetry-distinct sites (fractional):
Cr 0.000 0.000 0.189
In 0.500 0.500 0.500
Cu 0.500 0.500 0.000


First-principles (GGA-PBE) data for a relaxed structure of TaFePt2, as listed in the Alexandria database.

Results
- calculated total energy (eV/atom) = -8.05
- energy of formation from the pure elements (eV/atom) = 0.050
- volume (Å³ per cell) = 257

Unit cell a=3.765 b=3.765 c=18.133 alpha=90.00 beta=90.00 gamma=90.00
Space group I-42d (No. 122)
Symmetry-distinct sites (fractional):
Ta 0.000 0.000 0.000
Fe 0.000 0.000 0.500
Pt 0.237 0.250 0.625


First-principles (GGA-PBE) data for a relaxed structure of Pm12In3Sn, as listed in the Alexandria database.

Results
- calculated total energy (eV/atom) = -4.65
- energy of formation from the pure elements (eV/atom) = -0.322
- volume (Å³ per cell) = 484

Unit cell a=4.945 b=4.945 c=19.800 alpha=90.00 beta=90.00 gamma=90.00
Space group P4/mmm (No. 123)
Symmetry-distinct sites (fractional):
Pm 0.000 0.000 0.000
Pm 0.000 0.000 0.249
Pm 0.000 0.000 0.500
Pm 0.000 0.500 0.123
Pm 0.000 0.500 0.374
In 0.500 0.500 0.250
In 0.500 0.500 0.500
Sn 0.500 0.500 0.000


First-principles (GGA-PBE) data for a relaxed structure of NaScSn, as listed in the Alexandria database.

Results
- calculated total energy (eV/atom) = -4.05
- energy of formation from the pure elements (eV/atom) = -0.167
- volume (Å³ per cell) = 317

Unit cell a=13.982 b=3.251 c=7.158 alpha=90.00 beta=102.89 gamma=90.00
Space group C2/m (No. 12)
Symmetry-distinct sites (fractional):
Na 0.153 0.000 0.079
Sc 0.152 0.000 0.547
Sn 0.007 0.500 0.726


First-principles (GGA-PBE) data for a relaxed structure of Ca2MgAu, as listed in the Alexandria database.

Results
- calculated total energy (eV/atom) = -2.61
- energy of formation from the pure elements (eV/atom) = -0.394
- volume (Å³ per cell) = 113

Unit cell a=3.631 b=3.631 c=8.535 alpha=90.00 beta=90.00 gamma=90.00
Space group P4mm (No. 99)
Symmetry-distinct sites (fractional):
Ca 0.000 0.000 0.000
Ca 0.500 0.500 0.364
Mg 0.000 0.000 0.630
Au 0.500 0.500 0.780